Below is crystalline AgMoRu2 at its relaxed geometry, with properties calculated at the GGA-PBE level.

```
data_AgMoRu2
_chemical_formula_sum 'Ag1 Mo1 Ru2'
_space_group_name_H-M_alt 'P 4/m m m'
_space_group_IT_number 123
_space_group_name_Hall '-P 4 2'
_cell_length_a 3.139
_cell_length_b 3.139
_cell_length_c 6.407
_cell_angle_alpha 90.00
_cell_angle_beta 90.00
_cell_angle_gamma 90.00
loop_
_atom_site_label
_atom_site_type_symbol
_atom_site_fract_x
_atom_site_fract_y
_atom_site_fract_z
_atom_site_occupancy
Ag1 Ag 0.000 0.000 0.000 1
Mo1 Mo 0.000 0.000 0.500 1
Ru1 Ru 0.500 0.500 0.282 1
```

## Properties
The uncorrected energy is -30.87 eV per cell. As for the density of states at the Fermi level: 4.12 states/eV/cell. The energy relative to the lowest polymorph listed for this composition comes out at 13.73 kJ per mole of atoms. The calculation puts the calculated formation energy at 342 meV per atom. Its theoretical density is 10.68 g cm⁻³.